Ac12Ni5Sn3 PBE optimized geometry; ρ = 7.4 g/cm³; M_tot = 0.0 μB per cell; electronic total energy = -373.91 eV/cell
1.0
15.768 0.000 0.000
-5.256 14.866 0.000
-5.256 -7.433 12.874
Sn Ac Ni
12 48 20
Direct
0.750 0.375 0.125 Sn
0.375 0.750 0.625 Sn
0.250 0.625 0.875 Sn
0.875 0.750 0.125 Sn
0.250 0.125 0.375 Sn
0.750 0.875 0.625 Sn
0.625 0.375 0.750 Sn
0.125 0.875 0.750 Sn
0.375 0.625 0.250 Sn
0.875 0.125 0.250 Sn
0.125 0.250 0.875 Sn
0.625 0.250 0.375 Sn
0.879 0.294 0.471 Ac
0.206 0.529 0.621 Ac
0.323 0.794 0.415 Ac
0.294 0.415 0.823 Ac
0.908 0.085 0.879 Ac
0.706 0.585 0.177 Ac
0.408 0.029 0.323 Ac
0.415 0.121 0.592 Ac
0.415 0.294 0.323 Ac
0.971 0.592 0.177 Ac
0.177 0.085 0.706 Ac
0.029 0.621 0.706 Ac
0.794 0.471 0.379 Ac
0.592 0.621 0.415 Ac
0.529 0.206 0.121 Ac
0.408 0.379 0.585 Ac
0.879 0.585 0.908 Ac
0.706 0.121 0.029 Ac
0.915 0.823 0.794 Ac
0.621 0.029 0.206 Ac
0.379 0.408 0.085 Ac
0.294 0.879 0.971 Ac
0.092 0.915 0.121 Ac
0.471 0.677 0.092 Ac
0.971 0.379 0.294 Ac
0.592 0.971 0.677 Ac
0.585 0.879 0.408 Ac
0.908 0.823 0.529 Ac
0.471 0.794 0.879 Ac
0.177 0.092 0.971 Ac
0.621 0.592 0.915 Ac
0.092 0.177 0.471 Ac
0.029 0.408 0.823 Ac
0.529 0.323 0.908 Ac
0.823 0.915 0.294 Ac
0.085 0.177 0.206 Ac
0.121 0.415 0.092 Ac
0.794 0.323 0.915 Ac
0.677 0.471 0.592 Ac
0.085 0.908 0.379 Ac
0.379 0.971 0.794 Ac
0.677 0.206 0.585 Ac
0.323 0.529 0.408 Ac
0.823 0.908 0.029 Ac
0.585 0.706 0.677 Ac
0.206 0.677 0.085 Ac
0.915 0.092 0.621 Ac
0.121 0.706 0.529 Ac
0.000 0.000 0.000 Ni
0.125 0.375 0.250 Ni
0.500 0.500 0.000 Ni
0.250 0.375 0.625 Ni
0.875 0.625 0.750 Ni
0.750 0.125 0.875 Ni
0.875 0.250 0.625 Ni
0.250 0.875 0.125 Ni
0.000 0.000 0.500 Ni
0.625 0.750 0.875 Ni
0.750 0.625 0.375 Ni
0.500 0.000 0.500 Ni
0.500 0.000 0.000 Ni
0.000 0.500 0.500 Ni
0.125 0.750 0.375 Ni
0.625 0.875 0.250 Ni
0.500 0.500 0.500 Ni
0.000 0.500 0.000 Ni
0.375 0.125 0.750 Ni
0.375 0.250 0.125 Ni